<one>
NpMnH: relaxed, PBE.

Results
SG: C2/m (12)

a b c (Å): 4.102 4.102 5.133
angles (deg): 108.72 112.53 96.83
Atoms (fractional coordinates):
H 0.679 0.597 0.276
Np 0.763 0.171 0.935
H 0.321 0.403 0.724
Np 0.237 0.829 0.065
Mn 0.000 0.000 0.500
Mn 0.500 0.500 0.500



<two>
NpMnH: relaxed, PBE.

Results
SG: I4mm (107)

a b c (Å): 3.165 3.165 4.738
angles (deg): 109.51 109.51 90.00
Atoms (fractional coordinates):
Mn 0.677 0.677 0.355
H 0.902 0.902 0.805
Np 0.420 0.420 0.841



Pick the most stable structure from those above. Pick: <one>